Entry 1:
{"formula": "Mo2PSe", "functional": "PBE", "state": "optimized geometry", "crystal_system": "cubic", "polymorph_energy_ev_per_atom": 0.821, "raw_formation_energy_ev_per_atom": 0.5399, "space_group": "F-43m (216)", "lattice_angstrom": [[0.000, 3.159, 3.159], [3.159, 0.000, 3.159], [3.159, 3.159, 0.000]], "species": ["Mo", "Mo", "P", "Se"], "frac_coords": [[0.000, 0.000, 0.000], [0.250, 0.250, 0.250], [0.750, 0.750, 0.750], [0.500, 0.500, 0.500]]}

Entry 2:
{"formula": "Ac3S3N", "functional": "PBE", "state": "optimized geometry", "crystal_system": "monoclinic", "polymorph_energy_ev_per_atom": 0.000, "raw_formation_energy_ev_per_atom": -1.9368, "space_group": "P2_1/c (14)", "lattice_angstrom": [[8.474, 0.000, 0.000], [0.000, 7.598, 0.000], [-1.849, 0.000, 11.876]], "species": ["Ac", "Ac", "Ac", "Ac", "Ac", "Ac", "Ac", "Ac", "Ac", "Ac", "Ac", "Ac", "S", "S", "S", "S", "S", "S", "S", "S", "S", "S", "S", "S", "N", "N", "N", "N"], "frac_coords": [[0.076, 0.059, 0.367], [0.076, 0.441, 0.867], [0.251, 0.625, 0.513], [0.251, 0.875, 0.013], [0.382, 0.075, 0.659], [0.382, 0.425, 0.159], [0.618, 0.575, 0.841], [0.618, 0.925, 0.341], [0.749, 0.125, 0.987], [0.749, 0.375, 0.487], [0.924, 0.559, 0.133], [0.924, 0.941, 0.633], [0.097, 0.172, 0.120], [0.097, 0.328, 0.620], [0.288, 0.744, 0.784], [0.288, 0.756, 0.284], [0.403, 0.243, 0.915], [0.403, 0.257, 0.415], [0.597, 0.743, 0.585], [0.597, 0.757, 0.085], [0.712, 0.244, 0.716], [0.712, 0.256, 0.216], [0.903, 0.672, 0.380], [0.903, 0.828, 0.880], [0.178, 0.579, 0.040], [0.178, 0.921, 0.540], [0.822, 0.079, 0.460], [0.822, 0.421, 0.960]]}

Entry 3:
{"formula": "Pm6YEr2Sc", "functional": "PBE", "state": "optimized geometry", "crystal_system": "monoclinic", "formation_energy_ev_per_atom": 0.126, "space_group": "C2/c (15)", "lattice_angstrom": [[4.596, -7.632, 0.000], [4.596, 7.632, 0.000], [-1.005, 0.000, 9.323]], "species": ["Pm", "Pm", "Pm", "Pm", "Pm", "Pm", "Pm", "Pm", "Pm", "Pm", "Pm", "Pm", "Y", "Y", "Er", "Er", "Er", "Er", "Sc", "Sc"], "frac_coords": [[0.005, 0.440, 0.805], [0.125, 0.768, 0.551], [0.232, 0.875, 0.949], [0.288, 0.510, 0.387], [0.440, 0.005, 0.305], [0.490, 0.712, 0.113], [0.510, 0.288, 0.887], [0.560, 0.995, 0.695], [0.712, 0.490, 0.613], [0.768, 0.125, 0.051], [0.875, 0.232, 0.449], [0.995, 0.560, 0.195], [0.025, 0.975, 0.250], [0.975, 0.025, 0.750], [0.205, 0.308, 0.048], [0.308, 0.205, 0.548], [0.692, 0.795, 0.452], [0.795, 0.692, 0.952], [0.421, 0.579, 0.750], [0.579, 0.421, 0.250]]}